DFT (GGA-PBE) results for a geometry-optimized CuW2Br8 structure.

Unit cell a=8.2097 b=8.2097 c=7.1627 alpha=90.78 beta=90.78 gamma=72.28
Sites, in units of the cell vectors:
Cu  0.0000  0.0000  0.0000
W  0.2043  0.2043  0.6521
W  0.7957  0.7957  0.3479
Br  0.0675  0.7148  0.1851
Br  0.1760  0.1760  0.3211
Br  0.2852  0.9325  0.8149
Br  0.3812  0.3812  0.7235
Br  0.6188  0.6188  0.2765
Br  0.7148  0.0675  0.1851
Br  0.8240  0.8240  0.6789
Br  0.9325  0.2852  0.8149

**E_tot**: -0.149 Ha/atom
**Energy relative to the elements, uncorrected**: -0.102 eV/atom
**SG**: C2/m (12)
**Size of the total moment**: 3.1 μB per formula unit